[1]
# Sm3Ho

A relaxed Sm3Ho crystal (PBE, the Alexandria database).

## Properties
Size of the total moment, Bohr magnetons per cell: 0.00
DOS(E_F), states/eV/atom: 1.79
E_tot, eV/atom: -4.66
E_form, meV per atom: 27
Symmetry: Pmm2
Crystal system: orthorhombic

Cell lengths 3.661, 5.778, 6.330 Å; angles 90.00, 90.00, 90.00 degrees
Sites, in units of the cell vectors:
Sm 0.000 0.000 0.000
Sm 0.000 0.500 0.334
Sm 0.500 0.500 0.834
Ho 0.500 0.000 0.501


[2]
# Er14TmPu

A relaxed Er14TmPu crystal (PBE, the Alexandria database).

## Properties
Size of the total moment, Bohr magnetons per cell: 5.95
DOS(E_F), states/eV/atom: 1.63
E_tot, eV/atom: -5.13
E_form, meV per atom: 37
Symmetry: P4/mmm
Crystal system: tetragonal

Cell lengths 6.996, 6.996, 9.856 Å; angles 90.00, 90.00, 90.00 degrees
Sites, in units of the cell vectors:
Er 0.000 0.000 0.000
Er 0.000 0.500 0.000
Er 0.000 0.500 0.500
Er 0.249 0.249 0.252
Er 0.249 0.249 0.748
Er 0.249 0.751 0.252
Er 0.249 0.751 0.748
Er 0.500 0.000 0.000
Er 0.500 0.000 0.500
Er 0.500 0.500 0.000
Er 0.751 0.249 0.252
Er 0.751 0.249 0.748
Er 0.751 0.751 0.252
Er 0.751 0.751 0.748
Tm 0.500 0.500 0.500
Pu 0.000 0.000 0.500


[3]
# Zr2AlVH

A relaxed Zr2AlVH crystal (PBE, the Alexandria database).

## Properties
Size of the total moment, Bohr magnetons per cell: 0.87
DOS(E_F), states/eV/atom: 0.63
E_tot, eV/atom: -6.94
Symmetry: P4/mmm
Crystal system: tetragonal

Cell lengths 4.500, 4.500, 3.805 Å; angles 90.00, 90.00, 90.00 degrees
Sites, in units of the cell vectors:
Zr 0.000 0.500 0.000
Zr 0.500 0.000 0.000
Al 0.000 0.000 0.500
V 0.500 0.500 0.500
H 0.500 0.500 0.000


[4]
# Cd6Ag5Hg

A relaxed Cd6Ag5Hg crystal (PBE, the Alexandria database).

## Properties
Size of the total moment, Bohr magnetons per cell: 0.00
DOS(E_F), states/eV/atom: 0.24
E_tot, eV/atom: -1.70
E_form, meV per atom: -26
Symmetry: C2/m
Crystal system: monoclinic

Cell lengths 7.025, 7.025, 8.121 Å; angles 90.21, 90.21, 143.44 degrees
Sites, in units of the cell vectors:
Cd 0.001 0.001 0.244
Cd 0.330 0.668 0.755
Cd 0.332 0.670 0.245
Cd 0.668 0.330 0.755
Cd 0.670 0.332 0.245
Cd 0.999 0.999 0.756
Ag 0.165 0.835 0.000
Ag 0.170 0.830 0.500
Ag 0.500 0.500 0.000
Ag 0.830 0.170 0.500
Ag 0.835 0.165 0.000
Hg 0.500 0.500 0.500


[5]
# MgNi4P2

A relaxed MgNi4P2 crystal (PBE, the Alexandria database).

## Properties
Size of the total moment, Bohr magnetons per cell: 0.00
DOS(E_F), states/eV/atom: 0.52
E_tot, eV/atom: -5.53
E_form, meV per atom: -449
Symmetry: R-3m
Crystal system: trigonal

Cell lengths 7.450, 7.450, 7.450 Å; angles 29.64, 29.64, 29.64 degrees
Sites, in units of the cell vectors:
Mg 0.000 0.000 0.000
Ni 0.136 0.136 0.136
Ni 0.413 0.413 0.413
Ni 0.587 0.587 0.587
Ni 0.864 0.864 0.864
P 0.242 0.242 0.242
P 0.758 0.758 0.758


[6]
# Mg2CdPb9

A relaxed Mg2CdPb9 crystal (PBE, the Alexandria database).

## Properties
Size of the total moment, Bohr magnetons per cell: 0.00
DOS(E_F), states/eV/atom: 0.64
E_tot, eV/atom: -3.10
E_form, meV per atom: 19
Symmetry: P4/mmm
Crystal system: tetragonal

Cell lengths 4.891, 4.891, 14.818 Å; angles 90.00, 90.00, 90.00 degrees
Sites, in units of the cell vectors:
Mg 0.000 0.000 0.166
Mg 0.000 0.000 0.834
Cd 0.000 0.000 0.500
Pb 0.000 0.500 0.000
Pb 0.000 0.500 0.331
Pb 0.000 0.500 0.669
Pb 0.500 0.000 0.000
Pb 0.500 0.000 0.331
Pb 0.500 0.000 0.669
Pb 0.500 0.500 0.164
Pb 0.500 0.500 0.500
Pb 0.500 0.500 0.836